Record 1
Compound: PmEr8Cd2
Source: the Alexandria database
Functional: GGA-PBE
Structure: relaxed

Calculated values
ρ, g cm⁻³: 8.484
Crystal system: monoclinic
Volume, Å³/cell: 334.3
DFT total energy, eV/atom: -3.87
E_form, eV/atom: 0.042

The structure in POSCAR format:
```
PmEr8Cd2
1.0
5.516 -0.255 -0.383
-1.298 8.526 -0.678
-1.298 -3.909 7.608
Pm Er Cd
1 8 2
Cartesian
2.758 -0.127 -0.191 Pm
1.460 5.640 0.969 Er
1.460 -1.278 5.579 Er
0.101 2.338 0.453 Er
0.089 2.685 4.029 Er
2.819 4.844 4.215 Er
2.832 1.678 2.518 Er
2.819 2.025 6.094 Er
0.101 -0.482 2.332 Er
-1.298 -0.097 5.068 Cd
-1.298 4.715 1.862 Cd
```

Record 2
Compound: Tb3Dy4Mg4
Source: the Alexandria database
Functional: GGA-PBE
Structure: relaxed

Calculated values
ρ, g cm⁻³: 6.218
Crystal system: orthorhombic
Volume, Å³/cell: 326.9
DFT total energy, eV/atom: -3.40
E_form, eV/atom: 0.115

The structure in POSCAR format:
```
Tb3Dy4Mg4
1.0
5.442 0.000 0.000
0.000 6.903 0.000
-2.721 -3.452 8.701
Mg Dy Tb
4 4 3
Cartesian
2.721 0.000 5.749 Mg
2.721 5.393 0.000 Mg
0.000 3.452 2.952 Mg
2.721 1.510 0.000 Mg
0.000 1.651 5.465 Dy
0.000 -1.651 5.465 Dy
2.721 5.102 3.236 Dy
2.721 1.801 3.236 Dy
2.721 3.452 6.834 Tb
0.000 3.452 0.000 Tb
0.000 0.000 1.867 Tb
```

Record 3
Compound: RbNa3Hg4F12
Source: the Alexandria database
Functional: GGA-PBE
Structure: relaxed

Calculated values
E_form (uncorrected), kJ/mol of atoms: -188.4
ρ, g cm⁻³: 5.851
Crystal system: cubic
Volume, Å³/cell: 336.3
DFT total energy, eV/atom: -3.38

The structure in POSCAR format:
```
RbNa3Hg4F12
1.0
7.588 0.000 0.000
-2.529 7.154 0.000
-2.529 -3.577 6.195
F Hg Na Rb
12 4 3 1
Cartesian
2.591 -1.832 5.383 F
0.061 2.001 5.090 F
0.664 -0.469 3.022 F
-2.591 3.745 4.278 F
3.193 1.194 4.278 F
-0.664 2.383 1.918 F
-0.061 5.409 0.813 F
4.395 4.302 1.105 F
-1.866 -0.725 5.090 F
5.120 -0.169 1.918 F
1.866 4.046 3.173 F
2.468 1.576 1.105 F
1.265 1.788 3.098 Hg
-1.265 -1.788 3.098 Hg
3.794 0.000 0.000 Hg
-1.265 3.577 0.000 Hg
-2.529 1.788 3.098 Na
2.529 3.577 0.000 Na
2.529 -1.788 3.098 Na
0.000 0.000 0.000 Rb
```

Record 4
Compound: Rb4I3Br
Source: the Alexandria database
Functional: GGA-PBE
Structure: relaxed

Calculated values
E_form (uncorrected), kJ/mol of atoms: -150.1
ρ, g cm⁻³: 3.344
Crystal system: orthorhombic
Volume, Å³/cell: 398.5
DFT total energy, eV/atom: -2.83

The structure in POSCAR format:
```
Rb4I3Br
1.0
5.171 0.000 0.000
0.000 9.032 -0.059
0.000 -2.903 8.552
Rb I Br
4 3 1
Cartesian
0.000 1.458 2.021 Rb
0.000 4.670 6.472 Rb
2.586 6.124 2.039 Rb
2.586 0.004 6.454 Rb
0.000 -1.452 4.276 I
0.000 4.516 -0.030 I
2.586 3.064 4.247 I
2.586 0.000 0.000 Br
```

Record 5
Compound: InSn2H2
Source: the Alexandria database
Functional: GGA-PBE
Structure: relaxed

Calculated values
ρ, g cm⁻³: 3.972
Crystal system: monoclinic
Volume, Å³/cell: 148.1
DFT total energy, eV/atom: -3.37

The structure in POSCAR format:
```
InSn2H2
1.0
3.183 0.000 0.000
-1.591 5.131 0.343
0.000 -0.631 9.027
In H Sn
1 2 2
Cartesian
0.000 0.000 0.000 In
0.000 -0.304 4.889 H
1.591 4.804 4.481 H
1.591 2.340 1.601 Sn
0.000 2.159 7.769 Sn
```

Record 6
Compound: SrScOsSe2
Source: the Alexandria database
Functional: GGA-PBE
Structure: relaxed

Calculated values
E_form (uncorrected), kJ/mol of atoms: 63.0
ρ, g cm⁻³: 4.841
Crystal system: tetragonal
Volume, Å³/cell: 164.9
DFT total energy, eV/atom: -4.59

The structure in POSCAR format:
```
SrScOsSe2
1.0
-1.784 2.185 4.145
-2.864 -5.641 1.741
4.143 -1.336 2.487
Se Sr Os Sc
2 1 1 1
Cartesian
-0.892 1.092 2.072 Se
2.071 -0.668 1.243 Se
-1.432 -2.821 0.871 Sr
-0.252 -2.396 4.186 Os
0.000 0.000 0.000 Sc
```

Record 7
Compound: CaCdBi
Source: the Alexandria database
Functional: GGA-PBE
Structure: relaxed

Calculated values
ρ, g cm⁻³: 6.287
Crystal system: triclinic
Offset from the most stable computed form, kcal/mol of atoms: 0.05
Volume, Å³/cell: 191.0
DFT total energy, eV/atom: -2.76
E_form, eV/atom: -0.498

The structure in POSCAR format:
```
CaCdBi
1.0
4.843 -0.010 0.001
-0.011 7.170 0.486
-2.418 0.500 5.532
Ca Bi Cd
2 2 2
Cartesian
1.430 1.476 4.757 Ca
3.829 4.745 1.981 Ca
1.408 4.718 4.274 Bi
-0.992 1.514 2.463 Bi
-1.010 6.304 5.118 Cd
1.416 7.098 2.103 Cd
```

Record 8
Compound: Zr4HPb2
Source: the Alexandria database
Functional: GGA-PBE
Structure: relaxed

Calculated values
ρ, g cm⁻³: 8.948
Crystal system: tetragonal
Offset from the most stable computed form, kcal/mol of atoms: 0.02
Volume, Å³/cell: 144.8
DFT total energy, eV/atom: -6.70

The structure in POSCAR format:
```
Zr4HPb2
1.0
4.220 0.000 0.000
0.000 4.220 0.000
-2.110 -2.110 8.130
H Zr Pb
1 4 2
Cartesian
0.000 0.000 0.000 H
0.000 2.110 0.000 Zr
2.110 2.110 5.253 Zr
0.000 0.000 2.878 Zr
2.110 0.000 0.000 Zr
0.000 0.000 5.860 Pb
2.110 2.110 2.270 Pb
```

- DFT total energy of number 3 (RbNa3Hg4F12)?
  -3.38 eV/atom

Repeat the third record exactly.
Compound: RbNa3Hg4F12
Source: the Alexandria database
Functional: GGA-PBE
Structure: relaxed

Calculated values
E_form (uncorrected), kJ/mol of atoms: -188.4
ρ, g cm⁻³: 5.851
Crystal system: cubic
Volume, Å³/cell: 336.3
DFT total energy, eV/atom: -3.38

The structure in POSCAR format:
```
RbNa3Hg4F12
1.0
7.588 0.000 0.000
-2.529 7.154 0.000
-2.529 -3.577 6.195
F Hg Na Rb
12 4 3 1
Cartesian
2.591 -1.832 5.383 F
0.061 2.001 5.090 F
0.664 -0.469 3.022 F
-2.591 3.745 4.278 F
3.193 1.194 4.278 F
-0.664 2.383 1.918 F
-0.061 5.409 0.813 F
4.395 4.302 1.105 F
-1.866 -0.725 5.090 F
5.120 -0.169 1.918 F
1.866 4.046 3.173 F
2.468 1.576 1.105 F
1.265 1.788 3.098 Hg
-1.265 -1.788 3.098 Hg
3.794 0.000 0.000 Hg
-1.265 3.577 0.000 Hg
-2.529 1.788 3.098 Na
2.529 3.577 0.000 Na
2.529 -1.788 3.098 Na
0.000 0.000 0.000 Rb
```